DFT (PBE) results for a relaxed GdHoIr2C3 crystal.

Results
- spin magnetization (μB/f.u.) = 0.00
- raw total energy (eV per atom) = -7.93

abc: 5.9659 5.9659 5.2789
angles: 103.89 103.89 33.78
Element x y z (fractional)
Gd: 0.0000 0.0000 0.0000
Ho: 0.2481 0.2481 0.6410
Ir: 0.4902 0.4902 0.4879
Ir: 0.7562 0.7562 0.1542
C: 0.3497 0.3497 0.1156
C: 0.6254 0.6254 0.3288
C: 0.8953 0.8953 0.5229